# PmDy2ScS4

PmDy2ScS4 after structural relaxation (PBE, the Alexandria database).

a b c (Å): 3.8580 6.8081 6.7239
angles (deg): 109.04 90.00 90.00
Fractional coordinates of all 8 atoms:
Pm 0.5000 0.5000 0.0000
Dy 0.5000 0.0000 0.5000
Dy 0.0000 0.5000 0.5000
Sc 0.0000 0.0000 0.0000
S 0.5000 0.2360 0.2434
S 0.5000 0.7640 0.7566
S 0.0000 0.2370 0.7474
S 0.0000 0.7630 0.2526

## Properties
volume	20.87	Å³/atom
space group	P2/m
crystal system	monoclinic
DFT total energy	-6.54	eV/atom
formation energy from raw total energies	-15.55	eV per formula unit